Entry 1:
{
  "formula": "Pm4Sm7Er",
  "functional": "GGA-PBE",
  "state": "optimized geometry",
  "lattice": [[-1.875, 5.679, 0.701], [-8.185, -0.174, 5.379], [0.316, 2.259, 8.409]],
  "species": ["Pm", "Pm", "Pm", "Pm", "Sm", "Sm", "Sm", "Sm", "Sm", "Sm", "Sm", "Er"],
  "fractional_positions": [[0.575, 0.299, 0.551], [0.425, 0.701, 0.449], [0.674, 0.612, 0.040], [0.326, 0.388, 0.960], [0.790, 0.876, 0.543], [0.210, 0.124, 0.457], [0.080, 0.565, 0.275], [0.920, 0.435, 0.725], [0.207, 0.776, 0.810], [0.500, 0.000, 0.000], [0.793, 0.224, 0.190], [0.000, 0.000, 0.000]],
  "polymorph_energy_kj_per_mol_atoms": 20.3,
  "n_ef_per_ev_atom": 1.5384
}

***

Entry 2:
{
  "formula": "Pm3SmEr6",
  "functional": "GGA-PBE",
  "state": "optimized geometry",
  "lattice": [[6.233, 0.000, 0.000], [0.000, 10.836, -1.582], [0.000, -3.960, 10.210]],
  "species": ["Pm", "Pm", "Pm", "Pm", "Pm", "Pm", "Sm", "Sm", "Er", "Er", "Er", "Er", "Er", "Er", "Er", "Er", "Er", "Er", "Er", "Er"],
  "fractional_positions": [[0.461, 0.937, 0.716], [0.961, 0.716, 0.937], [0.067, 0.391, 0.609], [0.567, 0.609, 0.391], [0.961, 0.063, 0.284], [0.461, 0.284, 0.063], [0.142, 0.204, 0.796], [0.642, 0.796, 0.204], [0.037, 0.712, 0.617], [0.537, 0.617, 0.712], [0.369, 0.537, 0.959], [0.869, 0.959, 0.537], [0.402, 0.956, 0.044], [0.641, 0.280, 0.720], [0.141, 0.720, 0.280], [0.902, 0.044, 0.956], [0.369, 0.041, 0.463], [0.869, 0.463, 0.041], [0.037, 0.383, 0.288], [0.537, 0.288, 0.383]],
  "polymorph_energy_kj_per_mol_atoms": 0.0,
  "n_ef_per_ev_atom": 1.4523
}

***

Entry 3:
{
  "formula": "PmSm6Er",
  "functional": "GGA-PBE",
  "state": "optimized geometry",
  "lattice": [[-4.404, 0.859, 4.368], [1.361, -6.098, -0.408], [6.659, 3.430, 3.040]],
  "species": ["Pm", "Sm", "Sm", "Sm", "Sm", "Sm", "Sm", "Er"],
  "fractional_positions": [[0.500, 0.500, 0.000], [0.624, 0.124, 0.249], [0.876, 0.376, 0.751], [0.250, 0.250, 0.499], [0.124, 0.624, 0.249], [0.376, 0.876, 0.751], [0.750, 0.750, 0.501], [0.000, 0.000, 0.000]],
  "polymorph_energy_kj_per_mol_atoms": 0.0,
  "n_ef_per_ev_atom": 1.5024
}

***

Entry 4:
{
  "formula": "Pm11Sm9Er4",
  "functional": "GGA-PBE",
  "state": "optimized geometry",
  "lattice": [[-2.938, -1.075, -1.923], [7.198, -13.324, -3.548], [-8.325, -0.707, 13.119]],
  "species": ["Pm", "Pm", "Pm", "Pm", "Pm", "Pm", "Pm", "Pm", "Pm", "Pm", "Pm", "Sm", "Sm", "Sm", "Sm", "Sm", "Sm", "Sm", "Sm", "Sm", "Er", "Er", "Er", "Er"],
  "fractional_positions": [[0.000, 0.596, 0.958], [0.000, 0.404, 0.042], [0.000, 0.958, 0.596], [0.000, 0.042, 0.404], [0.000, 0.630, 0.370], [0.000, 0.370, 0.630], [0.000, 0.837, 0.163], [0.000, 0.163, 0.837], [0.000, 0.000, 0.000], [0.000, 0.709, 0.709], [0.000, 0.291, 0.291], [0.500, 0.628, 0.166], [0.500, 0.372, 0.834], [0.500, 0.166, 0.628], [0.500, 0.834, 0.372], [0.500, 0.787, 0.935], [0.500, 0.213, 0.065], [0.500, 0.935, 0.787], [0.500, 0.065, 0.213], [0.500, 0.500, 0.500], [0.500, 0.557, 0.760], [0.500, 0.443, 0.240], [0.500, 0.760, 0.557], [0.500, 0.240, 0.443]],
  "e_tot_ev_per_atom": -4.653,
  "n_ef_per_ev_atom": 1.3157
}